1) ## Pu3GaRu2 (PBE)

Data for Pu3GaRu2 after structural relaxation. Values from VASP.

```
&SYSTEM
  ibrav = 0, nat = 12, ntyp = 3
/
ATOMIC_SPECIES
Pu 244.00 Pu.upf
Ga 69.72 Ga.upf
Ru 101.07 Ru.upf
CELL_PARAMETERS angstrom
4.171 0.000 0.000
0.000 4.308 0.000
0.000 0.000 13.810
ATOMIC_POSITIONS angstrom
Pu 0.000 0.000 0.000
Pu 0.000 2.154 2.456
Pu 0.000 2.154 11.354
Pu 2.086 0.000 4.449
Pu 2.086 0.000 9.362
Pu 2.086 2.154 6.905
Ga 0.000 0.000 6.905
Ga 2.086 2.154 0.000
Ru 0.000 2.154 5.069
Ru 0.000 2.154 8.741
Ru 2.086 0.000 1.836
Ru 2.086 0.000 11.975
```

2) ## Pu3GaRu2 (PBE)

Data for Pu3GaRu2 after structural relaxation. Values from VASP.

```
&SYSTEM
  ibrav = 0, nat = 6, ntyp = 3
/
ATOMIC_SPECIES
Pu 244.00 Pu.upf
Ga 69.72 Ga.upf
Ru 101.07 Ru.upf
CELL_PARAMETERS angstrom
3.763 0.000 0.000
0.004 4.662 0.000
0.407 2.325 6.937
ATOMIC_POSITIONS angstrom
Pu 0.000 0.000 0.000
Pu 0.488 4.653 4.368
Pu 3.687 2.333 2.569
Ga 1.884 2.331 0.000
Ru 2.167 2.314 5.025
Ru 2.008 4.672 1.912
```

Which of the structures shown above is the most stable? The most stable is 1).